[1]
DFT (PBE) results for an optimized crystal structure of KYTeS.

Structure (CIF):
```
data_KYTeS
_symmetry_space_group_name_H-M 'R 3 m'
_symmetry_Int_Tables_number 160
_symmetry_space_group_name_Hall 'R 3 -2"'
_cell_length_a 4.2269
_cell_length_b 4.2269
_cell_length_c 24.2318
_cell_angle_alpha 90.00
_cell_angle_beta 90.00
_cell_angle_gamma 120.00
loop_
_atom_site_label
_atom_site_fract_x
_atom_site_fract_y
_atom_site_fract_z
K1 0.0000 0.0000 0.0000
Y1 0.0000 0.0000 0.1552
Te1 0.0000 0.0000 0.5658
S1 0.0000 0.0000 0.7642
```

Output
crystal system: trigonal
formation energy from raw total energies: -1.584 eV/atom
V: 31.244 Å³ per atom
calculated total energy: -21.17 eV/f.u.



[2]
DFT (PBE) results for an optimized crystal structure of TiNbCrIn.

Structure (CIF):
```
data_TiNbCrIn
_symmetry_space_group_name_H-M 'F -4 3 m'
_symmetry_Int_Tables_number 216
_symmetry_space_group_name_Hall 'F -4 2 3'
_cell_length_a 6.4962
_cell_length_b 6.4962
_cell_length_c 6.4962
_cell_angle_alpha 90.00
_cell_angle_beta 90.00
_cell_angle_gamma 90.00
loop_
_atom_site_label
_atom_site_fract_x
_atom_site_fract_y
_atom_site_fract_z
Ti1 0.0000 0.0000 0.0000
Nb1 0.2500 0.2500 0.7500
Cr1 0.0000 0.0000 0.5000
In1 0.2500 0.2500 0.2500
```

Output
crystal system: cubic
V: 17.134 Å³ per atom
energy relative to the elements: 0.049 eV/atom
calculated total energy: -30.13 eV/f.u.



Which value of V does entry 1 give? 31.244 Å³ per atom



Look up the calculated total energy of the first one. -21.17 eV/f.u.



The highest V belongs to which entry? KYTeS



Which of these has the lowest calculated total energy? TiNbCrIn